[1]
The following is a PBE-GGA calculation of crystalline K2InF3 at its relaxed geometry, from the Alexandria database.

Structure (POSCAR):
```
K2InF3
1.0
-1.854 0.719 -5.289
6.363 -3.143 -2.657
-3.159 -4.782 3.476
K In F
4 2 6
Direct
0.663 0.582 0.329
0.666 0.082 0.329
0.334 0.918 0.671
0.337 0.418 0.671
0.025 0.750 0.000
0.975 0.250 0.000
0.373 0.250 0.000
0.627 0.750 0.000
0.176 0.087 0.347
0.829 0.413 0.653
0.171 0.587 0.347
0.824 0.913 0.653
```

---

[2]
The following is a PBE-GGA calculation of crystalline K2In2F7 at its relaxed geometry, from the Alexandria database.

Structure (POSCAR):
```
K2In2F7
1.0
6.072 0.291 0.420
-0.347 5.382 1.295
-0.347 -0.678 5.494
K In F
2 2 7
Direct
0.500 0.241 0.759
0.500 0.759 0.241
0.000 0.275 0.275
0.000 0.725 0.725
0.220 0.000 0.500
0.780 0.500 0.000
0.780 0.000 0.500
0.220 0.500 0.000
0.000 0.000 0.000
0.790 0.500 0.500
0.210 0.500 0.500
```

---

[3]
The following is a PBE-GGA calculation of crystalline K2LiIn3F12 at its relaxed geometry, from the Alexandria database.

Structure (POSCAR):
```
K2LiIn3F12
1.0
-7.252 1.058 -2.158
-4.699 -6.018 0.272
-5.367 -0.070 5.437
K Li In F
2 1 3 12
Direct
0.667 0.667 0.667
0.333 0.333 0.333
0.000 0.000 0.000
0.500 0.000 0.000
0.000 0.500 0.000
0.000 0.000 0.500
0.325 0.325 0.943
0.929 0.929 0.320
0.320 0.929 0.929
0.943 0.325 0.325
0.929 0.320 0.929
0.325 0.943 0.325
0.675 0.675 0.057
0.071 0.071 0.680
0.680 0.071 0.071
0.057 0.675 0.675
0.071 0.680 0.071
0.675 0.057 0.675
```

---

[4]
The following is a PBE-GGA calculation of crystalline K2Li3InF12 at its relaxed geometry, from the Alexandria database.

Structure (POSCAR):
```
K2Li3InF12
1.0
-5.926 -3.963 1.634
-4.389 -2.821 -5.124
-0.420 -7.183 -1.309
K Li In F
2 3 1 12
Direct
0.627 0.627 0.627
0.373 0.373 0.373
0.500 0.000 0.000
0.000 0.500 0.000
0.000 0.000 0.500
0.000 0.000 0.000
0.354 0.354 0.870
0.914 0.914 0.354
0.354 0.914 0.914
0.870 0.354 0.354
0.914 0.354 0.914
0.354 0.870 0.354
0.646 0.646 0.130
0.086 0.086 0.646
0.646 0.086 0.086
0.130 0.646 0.646
0.086 0.646 0.086
0.646 0.130 0.646
```

---

[5]
The following is a PBE-GGA calculation of crystalline KLiIn2F8 at its relaxed geometry, from the Alexandria database.

Structure (POSCAR):
```
KLiIn2F8
1.0
5.197 0.201 -0.004
0.282 5.286 -0.006
0.005 0.008 6.872
K Li In F
1 1 2 8
Direct
0.000 0.000 0.500
0.000 0.000 0.000
0.500 0.500 0.761
0.500 0.500 0.239
0.210 0.786 0.211
0.684 0.683 0.000
0.790 0.214 0.211
0.790 0.214 0.789
0.316 0.317 0.000
0.210 0.786 0.789
0.664 0.663 0.500
0.336 0.337 0.500
```

---

[6]
The following is a PBE-GGA calculation of crystalline K2MgInF at its relaxed geometry, from the Alexandria database.

Structure (POSCAR):
```
K2MgInF
1.0
5.143 0.000 0.000
0.000 5.564 0.000
0.000 0.000 5.143
K F Mg In
2 1 1 1
Direct
0.000 0.000 0.500
0.500 0.000 0.000
0.000 0.000 0.000
0.000 0.500 0.000
0.500 0.500 0.500
```

---

[7]
The following is a PBE-GGA calculation of crystalline KMg2InF8 at its relaxed geometry, from the Alexandria database.

Structure (POSCAR):
```
KMg2InF8
1.0
5.118 0.409 0.421
0.462 5.113 0.418
0.575 0.569 7.250
K Mg In F
1 2 1 8
Direct
0.000 0.000 0.500
0.458 0.459 0.723
0.542 0.541 0.277
0.000 0.000 0.000
0.210 0.760 0.212
0.732 0.731 0.054
0.758 0.209 0.213
0.790 0.240 0.788
0.268 0.269 0.946
0.242 0.791 0.787
0.658 0.657 0.492
0.342 0.343 0.508
```

---

[8]
The following is a PBE-GGA calculation of crystalline K4Mg3InF12 at its relaxed geometry, from the Alexandria database.

Structure (POSCAR):
```
K4Mg3InF12
1.0
-5.113 -4.398 -2.700
4.781 1.643 -5.216
3.430 -3.341 5.463
K Mg In F
4 3 1 12
Direct
0.500 0.500 0.500
0.000 0.000 0.500
0.500 0.000 0.000
0.000 0.500 0.000
0.500 0.000 0.500
0.500 0.500 0.000
0.000 0.500 0.500
0.000 0.000 0.000
0.250 0.500 0.750
0.732 0.000 0.732
0.268 0.000 0.268
0.750 0.500 0.250
0.732 0.732 0.000
0.268 0.268 0.000
0.750 0.250 0.500
0.250 0.750 0.500
0.500 0.250 0.750
0.000 0.732 0.732
0.500 0.750 0.250
0.000 0.268 0.268
```

---

no.,total magnetization (μB per formula unit),DFT total energy (eV per atom)
1,0.0,-4.113
2,0.0,-4.384
3,0.0,-4.555
4,4.0,-3.910
5,0.1,-4.568
6,0.0,-2.544
7,0.1,-4.874
8,0.9,-4.742